Here is a PBEsol-optimized structure of YGaSeBr2 from Alexandria. Energies are from meta-GGA SCAN.

Results
Total magnetic moment: 0.00 μB/f.u.
ΔE_f (raw): -1.243 eV per atom

Unit cell a=5.4276 b=5.4740 c=5.4740 alpha=90.00 beta=90.00 gamma=90.00
Last column: nearest neighbours and their distance in Å.
Sites, in units of the cell vectors:
Y (0.0000, 0.0000, 0.0000)  2 Se 2.71, 4 Br 2.74
Ga (0.5000, 0.5000, 0.5000)  8 Br 3.85, 4 Se 3.87
Se (0.5000, 0.0000, 0.0000)  2 Y 2.71
Br (0.0000, 0.0000, 0.5000)  2 Y 2.74
Br (0.0000, 0.5000, 0.0000)  2 Y 2.74